No. 1
Entry from Alexandria: ScAlTl after structural relaxation (PBE).

abc: 6.525 6.493 3.301
angles: 75.84 74.78 29.38
Element x y z (fractional)
Sc 0.000 0.000 0.000
Al 0.354 0.354 0.646
Tl 0.685 0.685 0.315

## Properties
SG: Fmm2
Offset from the most stable computed form: 75 meV per atom

No. 2
Entry from Alexandria: Nd5Ag2Rh2 after structural relaxation (PBE).

abc: 11.079 11.079 11.079
angles: 52.91 146.01 140.71
Element x y z (fractional)
Nd 0.127 0.028 0.600
Nd 0.162 0.076 0.238
Nd 0.162 0.424 0.586
Nd 0.428 0.528 0.400
Nd 0.476 0.796 0.002
Nd 0.476 0.973 0.180
Nd 0.794 0.296 0.820
Nd 0.794 0.473 0.998
Nd 0.838 0.576 0.414
Nd 0.838 0.924 0.762
Ag 0.219 0.400 0.930
Ag 0.219 0.788 0.318
Ag 0.470 0.288 0.070
Ag 0.470 0.900 0.682
Rh 0.701 0.201 0.500
Rh 0.701 0.701 0.000
Rh 0.883 0.186 0.197
Rh 0.990 0.686 0.803

## Properties
SG: Ima2
Offset from the most stable computed form: 46 meV per atom

No. 3
Entry from Alexandria: TmPu2Fe after structural relaxation (PBE).

abc: 9.999 9.999 9.999
angles: 19.82 19.82 19.82
Element x y z (fractional)
Tm 0.000 0.000 0.000
Pu 0.108 0.108 0.108
Pu 0.892 0.892 0.892
Fe 0.500 0.500 0.500

## Properties
SG: R-3m
Offset from the most stable computed form: 235 meV per atom

No. 4
Entry from Alexandria: SnPdN after structural relaxation (PBE).

abc: 5.118 5.118 3.170
angles: 90.04 90.04 141.29
Element x y z (fractional)
Sn 0.000 0.000 0.000
Pd 0.223 0.777 0.500
N 0.368 0.632 0.000

## Properties
SG: C2
Offset from the most stable computed form: 102 meV per atom
Raw formation energy: 0.32 eV per atom

No. 5
Entry from Alexandria: NaSrSe after structural relaxation (PBE).

abc: 11.805 11.805 11.805
angles: 159.98 159.46 28.83
Element x y z (fractional)
Na 0.000 0.000 0.000
Na 0.418 0.418 0.000
Sr 0.142 0.642 0.500
Sr 0.805 0.805 0.000
Se 0.257 0.257 0.000
Se 0.594 0.094 0.500

## Properties
SG: Imm2
Offset from the most stable computed form: 102 meV per atom
Raw formation energy: -1.17 eV per atom

No. 6
Entry from Alexandria: TlHg3Bi3 after structural relaxation (PBE).

abc: 9.365 9.365 5.628
angles: 90.00 90.00 120.00
Element x y z (fractional)
Tl 0.333 0.667 0.250
Tl 0.667 0.333 0.750
Hg 0.099 0.613 0.750
Hg 0.387 0.485 0.750
Hg 0.485 0.099 0.250
Hg 0.515 0.901 0.750
Hg 0.613 0.515 0.250
Hg 0.901 0.387 0.250
Bi 0.048 0.824 0.250
Bi 0.176 0.224 0.250
Bi 0.224 0.048 0.750
Bi 0.776 0.952 0.250
Bi 0.824 0.776 0.750
Bi 0.952 0.176 0.750

## Properties
SG: P6_3/m
Offset from the most stable computed form: 0 meV per atom